Record 1
Material: RbCoB
Method: DFT, PBE-GGA
State: relaxed

## Properties
* energy above the most stable polymorph in this dataset: 797 meV/atom
* mass density: 2.48 g/cm3
* volume: 104 Å³ per cell

Lattice parameters (Å, degrees): 5.274 5.274 5.274 60.00 60.00 60.00
Element x y z (fractional)
Rb 0.000 0.000 0.000
Co 0.250 0.250 0.250
B 0.750 0.750 0.750

Record 2
Material: RbCoB4
Method: DFT, PBE-GGA
State: relaxed

## Properties
* energy above the most stable polymorph in this dataset: 0 meV/atom
* mass density: 4.79 g/cm3
* volume: 65 Å³ per cell

Lattice parameters (Å, degrees): 3.055 3.055 8.055 90.00 90.00 120.00
Element x y z (fractional)
Rb 0.000 0.000 0.000
Co 0.000 0.000 0.500
B 0.333 0.667 0.330
B 0.333 0.667 0.670
B 0.667 0.333 0.330
B 0.667 0.333 0.670

Record 3
Material: RbCoB4
Method: DFT, PBE-GGA
State: relaxed

## Properties
* energy above the most stable polymorph in this dataset: 584 meV/atom
* mass density: 4.70 g/cm3
* volume: 66 Å³ per cell

Lattice parameters (Å, degrees): 5.448 5.448 5.448 152.65 115.28 71.62
Element x y z (fractional)
Rb 0.000 0.000 0.000
Co 0.500 0.500 0.000
B 0.136 0.779 0.357
B 0.422 0.779 0.643
B 0.578 0.221 0.357
B 0.864 0.221 0.643

Record 4
Material: CoReB
Method: DFT, PBE-GGA
State: relaxed

## Properties
* energy above the most stable polymorph in this dataset: 0 meV/atom
* mass density: 14.19 g/cm3
* volume: 120 Å³ per cell

Lattice parameters (Å, degrees): 5.607 3.297 6.481 90.00 90.00 90.00
Element x y z (fractional)
Co 0.146 0.250 0.056
Co 0.354 0.750 0.556
Co 0.646 0.250 0.444
Co 0.854 0.750 0.944
Re 0.029 0.250 0.671
Re 0.471 0.750 0.171
Re 0.529 0.250 0.829
Re 0.971 0.750 0.329
B 0.231 0.750 0.876
B 0.269 0.250 0.376
B 0.731 0.750 0.624
B 0.769 0.250 0.124

Record 5
Material: CoReB
Method: DFT, PBE-GGA
State: relaxed

## Properties
* energy above the most stable polymorph in this dataset: 337 meV/atom
* mass density: 13.00 g/cm3
* volume: 131 Å³ per cell

Lattice parameters (Å, degrees): 4.892 2.830 9.449 90.00 90.00 90.00
Element x y z (fractional)
Co 0.182 0.250 0.049
Co 0.318 0.750 0.549
Co 0.682 0.250 0.451
Co 0.818 0.750 0.951
Re 0.203 0.250 0.333
Re 0.297 0.750 0.833
Re 0.703 0.250 0.167
Re 0.797 0.750 0.667
B 0.136 0.250 0.674
B 0.364 0.750 0.174
B 0.636 0.250 0.826
B 0.864 0.750 0.326

Record 6
Material: CoReB2
Method: DFT, PBE-GGA
State: relaxed

## Properties
* mass density: 11.22 g/cm3
* volume: 39 Å³ per cell
* total DFT energy (no corrections): -29.2 eV per cell

Lattice parameters (Å, degrees): 3.822 3.822 3.822 60.00 60.00 60.00
Element x y z (fractional)
Co 0.000 0.000 0.000
Re 0.750 0.750 0.750
B 0.250 0.250 0.250
B 0.500 0.500 0.500

Record 7
Material: CoRe2B
Method: DFT, PBE-GGA
State: relaxed

## Properties
* mass density: 15.10 g/cm3
* volume: 49 Å³ per cell
* total DFT energy (no corrections): -36.3 eV per cell

Lattice parameters (Å, degrees): 4.097 4.097 4.097 60.00 60.00 60.00
Element x y z (fractional)
Co 0.000 0.000 0.000
Re 0.250 0.250 0.250
Re 0.500 0.500 0.500
B 0.750 0.750 0.750

Record 8
Material: CoReB
Method: DFT, PBE-GGA
State: relaxed

## Properties
* energy above the most stable polymorph in this dataset: 786 meV/atom
* mass density: 11.96 g/cm3
* volume: 36 Å³ per cell

Lattice parameters (Å, degrees): 3.690 3.690 3.690 60.00 60.00 60.00
Element x y z (fractional)
Co 0.000 0.000 0.000
Re 0.250 0.250 0.250
B 0.750 0.750 0.750

Record 9
Material: CoReB
Method: DFT, PBE-GGA
State: relaxed

## Properties
* energy above the most stable polymorph in this dataset: 503 meV/atom
* mass density: 13.61 g/cm3
* volume: 62 Å³ per cell

Lattice parameters (Å, degrees): 3.996 3.996 4.517 90.00 90.00 120.00
Element x y z (fractional)
Co 0.000 0.000 0.000
Co 0.000 0.000 0.500
Re 0.333 0.667 0.250
Re 0.667 0.333 0.750
B 0.333 0.667 0.750
B 0.667 0.333 0.250

Record 10
Material: CoReB
Method: DFT, PBE-GGA
State: relaxed

## Properties
* energy above the most stable polymorph in this dataset: 360 meV/atom
* mass density: 13.42 g/cm3
* volume: 95 Å³ per cell

Lattice parameters (Å, degrees): 6.262 6.262 2.797 90.00 90.00 120.00
Element x y z (fractional)
Co 0.000 0.599 0.000
Co 0.401 0.401 0.000
Co 0.599 0.000 0.000
Re 0.000 0.265 0.500
Re 0.265 0.000 0.500
Re 0.735 0.735 0.500
B 0.000 0.000 0.000
B 0.333 0.667 0.500
B 0.667 0.333 0.500

Record 11
Material: CoReB
Method: DFT, PBE-GGA
State: relaxed

## Properties
* energy above the most stable polymorph in this dataset: 547 meV/atom
* mass density: 13.32 g/cm3
* volume: 96 Å³ per cell

Lattice parameters (Å, degrees): 5.361 5.361 3.845 90.00 90.00 120.00
Element x y z (fractional)
Co 0.000 0.000 0.000
Co 0.333 0.667 0.500
Co 0.667 0.333 0.500
Re 0.000 0.525 0.000
Re 0.475 0.475 0.000
Re 0.525 0.000 0.000
B 0.000 0.245 0.500
B 0.245 0.000 0.500
B 0.755 0.755 0.500

Record 12
Material: CoReB
Method: DFT, PBE-GGA
State: relaxed

## Properties
* energy above the most stable polymorph in this dataset: 388 meV/atom
* mass density: 13.22 g/cm3
* volume: 64 Å³ per cell

Lattice parameters (Å, degrees): 3.623 3.623 5.657 90.00 90.00 120.00
Element x y z (fractional)
Co 0.333 0.667 0.000
Co 0.667 0.333 0.500
Re 0.000 0.000 0.246
Re 0.000 0.000 0.746
B 0.333 0.667 0.386
B 0.667 0.333 0.886

Record 13
Material: CoReB
Method: DFT, PBE-GGA
State: relaxed

## Properties
* energy above the most stable polymorph in this dataset: 74 meV/atom
* mass density: 14.12 g/cm3
* volume: 90 Å³ per cell

Lattice parameters (Å, degrees): 5.519 5.519 3.423 90.00 90.00 120.00
Element x y z (fractional)
Co 0.000 0.253 0.000
Co 0.253 0.000 0.000
Co 0.747 0.747 0.000
Re 0.000 0.589 0.500
Re 0.411 0.411 0.500
Re 0.589 0.000 0.500
B 0.000 0.000 0.500
B 0.333 0.667 0.000
B 0.667 0.333 0.000

Record 14
Material: CoReB
Method: DFT, PBE-GGA
State: relaxed

## Properties
* energy above the most stable polymorph in this dataset: 479 meV/atom
* mass density: 13.57 g/cm3
* volume: 63 Å³ per cell

Lattice parameters (Å, degrees): 3.631 3.631 5.487 90.00 90.00 120.00
Element x y z (fractional)
Co 0.333 0.667 0.250
Co 0.667 0.333 0.750
Re 0.000 0.000 0.000
Re 0.000 0.000 0.500
B 0.333 0.667 0.750
B 0.667 0.333 0.250

Record 15
Material: ScCoReB
Method: DFT, PBE-GGA
State: relaxed

## Properties
* energy above the most stable polymorph in this dataset: 136 meV/atom
* mass density: 9.42 g/cm3
* volume: 53 Å³ per cell

Lattice parameters (Å, degrees): 4.218 4.218 4.218 60.00 60.00 60.00
Element x y z (fractional)
Sc 0.000 0.000 0.000
Co 0.500 0.500 0.500
Re 0.750 0.750 0.750
B 0.250 0.250 0.250

Record 16
Material: ScCoReB
Method: DFT, PBE-GGA
State: relaxed

## Properties
* energy above the most stable polymorph in this dataset: 0 meV/atom
* mass density: 10.02 g/cm3
* volume: 50 Å³ per cell

Lattice parameters (Å, degrees): 4.132 4.132 4.132 60.00 60.00 60.00
Element x y z (fractional)
Sc 0.000 0.000 0.000
Co 0.750 0.750 0.750
Re 0.250 0.250 0.250
B 0.500 0.500 0.500

Record 17
Material: ZnCoReB
Method: DFT, PBE-GGA
State: relaxed

## Properties
* energy above the most stable polymorph in this dataset: 367 meV/atom
* mass density: 11.35 g/cm3
* volume: 47 Å³ per cell

Lattice parameters (Å, degrees): 4.051 4.051 4.051 60.00 60.00 60.00
Element x y z (fractional)
Zn 0.000 0.000 0.000
Co 0.500 0.500 0.500
Re 0.750 0.750 0.750
B 0.250 0.250 0.250

Record 18
Material: ZnCoReB
Method: DFT, PBE-GGA
State: relaxed

## Properties
* energy above the most stable polymorph in this dataset: 0 meV/atom
* mass density: 11.90 g/cm3
* volume: 45 Å³ per cell

Lattice parameters (Å, degrees): 3.988 3.988 3.988 60.00 60.00 60.00
Element x y z (fractional)
Zn 0.000 0.000 0.000
Co 0.750 0.750 0.750
Re 0.250 0.250 0.250
B 0.500 0.500 0.500

Record 19
Material: ZrCoReB
Method: DFT, PBE-GGA
State: relaxed

## Properties
* energy above the most stable polymorph in this dataset: 0 meV/atom
* mass density: 10.78 g/cm3
* volume: 53 Å³ per cell

Lattice parameters (Å, degrees): 4.229 4.229 4.229 60.00 60.00 60.00
Element x y z (fractional)
Zr 0.000 0.000 0.000
Co 0.750 0.750 0.750
Re 0.250 0.250 0.250
B 0.500 0.500 0.500

Record 20
Material: ZrCoReB
Method: DFT, PBE-GGA
State: relaxed

## Properties
* energy above the most stable polymorph in this dataset: 179 meV/atom
* mass density: 10.15 g/cm3
* volume: 57 Å³ per cell

Lattice parameters (Å, degrees): 4.315 4.315 4.315 60.00 60.00 60.00
Element x y z (fractional)
Zr 0.000 0.000 0.000
Co 0.500 0.500 0.500
Re 0.750 0.750 0.750
B 0.250 0.250 0.250